Entry 1:
Below is an optimized crystal structure of InSiAgAs2, with properties calculated at the GGA-PBEsol level.

```
InSiAgAs2
1.0
5.146 0.000 0.000
0.000 5.146 0.000
0.000 0.000 4.993
In Si Ag As
1 1 1 2
direct
0.000 0.000 0.000
0.000 0.000 0.500
0.500 0.500 0.500
0.000 0.500 0.000
0.500 0.000 0.000
```

## Properties
symmetry = P4/mmm
raw formation energy = 116.1 kJ per mole of atoms
raw total energy = -3.25 eV/atom



Entry 2:
Below is an optimized crystal structure of SrCuSi2, with properties calculated at the GGA-PBEsol level.

```
SrCuSi2
1.0
4.143 0.000 0.000
0.000 4.143 0.000
0.000 0.000 4.305
Sr Cu Si
1 1 2
direct
0.000 0.000 0.000
0.500 0.500 0.000
0.000 0.500 0.500
0.500 0.000 0.500
```

## Properties
symmetry = P4/mmm
raw formation energy = 18.0 kJ per mole of atoms
raw total energy = -4.23 eV/atom



Entry 3:
Below is an optimized crystal structure of Y3In, with properties calculated at the GGA-PBEsol level.

```
Y3In
1.0
6.825 0.000 0.000
-3.412 5.910 0.000
0.000 0.000 5.411
Y In
6 2
direct
0.173 0.345 0.250
0.173 0.827 0.250
0.345 0.173 0.750
0.655 0.827 0.250
0.827 0.173 0.750
0.827 0.655 0.750
0.333 0.667 0.750
0.667 0.333 0.250
```

## Properties
symmetry = P6_3/mmc
raw total energy = -6.17 eV/atom
energy of formation = -0.3062 eV per atom



Entry 4:
Below is an optimized crystal structure of SrZnCd, with properties calculated at the GGA-PBEsol level.

```
SrZnCd
1.0
4.722 0.000 0.000
-2.361 4.090 0.000
0.000 0.000 4.089
Sr Zn Cd
1 1 1
direct
0.000 0.000 0.000
0.333 0.667 0.500
0.667 0.333 0.500
```

## Properties
symmetry = P-6m2
raw total energy = -1.79 eV/atom
energy of formation = -0.2503 eV per atom